Compound: CsUPaO6
Source: Alexandria
Functional: PBE
Structure: optimized geometry

a b c (Å): 8.0148 8.0515 11.3442
angles (deg): 90.00 90.00 90.00
Last column: nearest neighbours and their distance in Å.
Space group Imma (No. 74)
Asymmetric unit:
Cs: 0.0000 0.2500 0.1255 [4 per cell]  6 O 3.48-3.57
U: 0.0000 0.0000 0.5000 [4 per cell]  6 O 2.08-2.12
Pa: 0.2500 0.2500 0.7500 [4 per cell]  6 O 2.15-2.20
O: 0.0000 0.2500 0.4406 [4 per cell]  2 U 2.12
O: 0.0000 0.2500 0.8185 [4 per cell]  2 Pa 2.15
O: 0.1839 0.0544 0.6229 [16 per cell]  1 U 2.08, 1 Pa 2.20

Values from the calculation:
Energy: -8.874 eV per atom
D(E_F): 0.00 states/eV per cell
Formation energy without anion corrections: -3.1642 eV per atom
Theoretical density: 6.33 Mg/m³
Magnetization: 0.00 μB per formula unit